(1)
Compound: CoReP2
Source: Alexandria
Functional: GGA-PBEsol
Structure: optimized geometry

Summary:
Polymorph energy (0 for the lowest one), meV per atom: 639
Theoretical density, kg/m³: 10171
Energy of formation, eV/atom: 0.462

a = 4.139 Å, b = 4.139 Å, c = 4.139 Å
α = 60.00°, β = 60.00°, γ = 60.00°
Positions (direct):
Co  0.500  0.500  0.500
P  0.000  0.000  0.000
P  0.250  0.250  0.250
Re  0.750  0.750  0.750


(2)
Compound: Co2ReP
Source: Alexandria
Functional: GGA-PBEsol
Structure: optimized geometry

Summary:
Theoretical density, kg/m³: 12337
Energy of formation, eV/atom: 0.010

a = 3.529 Å, b = 3.529 Å, c = 3.621 Å
α = 90.00°, β = 90.00°, γ = 90.00°
Positions (direct):
Co  0.000  0.500  0.000
Co  0.500  0.000  0.000
P  0.500  0.500  0.500
Re  0.000  0.000  0.500


(3)
Compound: Co2ReP
Source: Alexandria
Functional: GGA-PBEsol
Structure: optimized geometry

Summary:
Theoretical density, kg/m³: 12339
Energy of formation, eV/atom: -0.054

a = 3.995 Å, b = 3.995 Å, c = 3.995 Å
α = 60.00°, β = 60.00°, γ = 60.00°
Positions (direct):
Co  0.000  0.000  0.000
Co  0.750  0.750  0.750
P  0.500  0.500  0.500
Re  0.250  0.250  0.250


(4)
Compound: CoReP2
Source: Alexandria
Functional: GGA-PBEsol
Structure: optimized geometry

Summary:
Polymorph energy (0 for the lowest one), meV per atom: 40
Theoretical density, kg/m³: 10483
Energy of formation, eV/atom: -0.136

a = 2.883 Å, b = 3.937 Å, c = 4.688 Å
α = 99.95°, β = 90.00°, γ = 111.48°
Positions (direct):
Co  0.500  0.000  0.000
P  0.746  0.491  0.759
P  0.254  0.509  0.241
Re  0.000  0.000  0.500


(5)
Compound: CoReP
Source: Alexandria
Functional: GGA-PBEsol
Structure: optimized geometry

Summary:
Polymorph energy (0 for the lowest one), meV per atom: 0
Theoretical density, kg/m³: 13204
Energy of formation, eV/atom: -0.435

a = 3.752 Å, b = 5.577 Å, c = 6.638 Å
α = 90.00°, β = 90.00°, γ = 90.00°
Positions (direct):
Co  0.750  0.142  0.929
Co  0.250  0.358  0.429
Co  0.250  0.858  0.071
Co  0.750  0.642  0.571
P  0.750  0.761  0.880
P  0.250  0.739  0.380
P  0.250  0.239  0.120
P  0.750  0.261  0.620
Re  0.750  0.027  0.330
Re  0.250  0.473  0.830
Re  0.250  0.973  0.670
Re  0.750  0.527  0.170


(6)
Compound: CoRe2P
Source: Alexandria
Functional: GGA-PBEsol
Structure: optimized geometry

Summary:
Theoretical density, kg/m³: 15229
Energy of formation, eV/atom: 0.140

a = 3.664 Å, b = 3.664 Å, c = 4.562 Å
α = 113.68°, β = 113.68°, γ = 90.00°
Positions (direct):
Co  0.500  0.500  0.000
P  0.250  0.750  0.500
Re  0.000  0.000  0.000
Re  0.750  0.250  0.500


(7)
Compound: Co2ReP
Source: Alexandria
Functional: GGA-PBEsol
Structure: optimized geometry

Summary:
Theoretical density, kg/m³: 12103
Energy of formation, eV/atom: -0.142

a = 2.641 Å, b = 2.641 Å, c = 7.763 Å
α = 80.21°, β = 80.21°, γ = 60.00°
Positions (direct):
Co  0.240  0.240  0.279
Co  0.760  0.760  0.721
P  0.500  0.500  0.500
Re  0.000  0.000  0.000


(8)
Compound: CoPRh3
Source: Alexandria
Functional: GGA-PBEsol
Structure: optimized geometry

Summary:
Theoretical density, kg/m³: 8073
Energy of formation, eV/atom: 1.309

a = 4.344 Å, b = 4.344 Å, c = 4.344 Å
α = 90.00°, β = 90.00°, γ = 90.00°
Positions (direct):
Co  0.000  0.000  0.000
Rh  0.000  0.500  0.000
Rh  0.000  0.000  0.500
Rh  0.500  0.000  0.000
P  0.500  0.500  0.500


(9)
Compound: CoP2RhS
Source: Alexandria
Functional: GGA-PBEsol
Structure: optimized geometry

Summary:
ΔE_f (raw), eV/atom: 0.55
Theoretical density, kg/m³: 5590

a = 4.130 Å, b = 4.130 Å, c = 4.456 Å
α = 90.00°, β = 90.00°, γ = 90.00°
Positions (direct):
Co  0.000  0.000  0.000
S  0.000  0.000  0.500
Rh  0.500  0.500  0.500
P  0.000  0.500  0.000
P  0.500  0.000  0.000


(10)
Compound: Co2PRu
Source: Alexandria
Functional: GGA-PBEsol
Structure: optimized geometry

Summary:
Theoretical density, kg/m³: 9204
Energy of formation, eV/atom: -0.120

a = 2.773 Å, b = 2.773 Å, c = 5.863 Å
α = 90.00°, β = 90.00°, γ = 90.00°
Positions (direct):
Co  0.000  0.000  0.014
Co  0.500  0.500  0.274
P  0.000  0.000  0.487
Ru  0.500  0.500  0.726


(11)
Compound: Co2PRu
Source: Alexandria
Functional: GGA-PBEsol
Structure: optimized geometry

Summary:
Theoretical density, kg/m³: 9198
Energy of formation, eV/atom: -0.037

a = 2.779 Å, b = 3.985 Å, c = 4.074 Å
α = 90.00°, β = 90.00°, γ = 90.00°
Positions (direct):
Co  0.000  0.000  0.000
Co  0.500  0.500  0.000
P  0.500  0.000  0.500
Ru  0.000  0.500  0.500


(12)
Compound: Co2PRu
Source: Alexandria
Functional: GGA-PBEsol
Structure: optimized geometry

Summary:
Theoretical density, kg/m³: 9501
Energy of formation, eV/atom: -0.079

a = 3.493 Å, b = 3.493 Å, c = 4.349 Å
α = 113.68°, β = 113.68°, γ = 90.00°
Positions (direct):
Co  0.750  0.250  0.500
Co  0.250  0.750  0.500
P  0.500  0.500  0.000
Ru  0.000  0.000  0.000